# 1
8
Lattice="-0.133 -0.140 -4.336 -3.428 -2.655 0.191 -6.625 4.854 -2.126" Properties=species:S:1:pos:R:3 comment="ScTcCl2, optimized geometry, DFT PBE-GGA" raw_formation_energy_ev_per_atom=-0.31 de_polymorph_kj_per_mol_fu=152 sg=I-42d pbc="T T T"
Tc -4.269 1.658 -4.267
Cl -8.147 1.146 -5.218
Sc -5.917 0.401 -2.004
Cl -6.242 2.641 -3.152
Cl -3.813 -0.461 -0.875
Sc -1.781 -1.398 -2.072
Tc 0.000 0.000 0.000
Cl -2.170 0.791 -3.297

# 2
18
Lattice="-2.596 0.459 0.546 1.428 -0.152 6.920 1.606 9.233 -0.129" Properties=species:S:1:pos:R:3 comment="LiB4C4, optimized geometry, DFT PBE-GGA" delta_e_f_kcal_per_mol_atoms=5.837 de_polymorph_kj_per_mol_fu=142 sg=Pmma pbc="T T T"
B -0.008 5.557 1.928
Li 0.621 7.079 3.636
B -0.808 0.955 1.992
B 2.138 6.023 5.104
C 1.429 6.126 1.644
B 1.249 8.600 5.344
C -0.274 4.026 1.949
C 0.709 5.498 5.388
B 0.891 3.031 1.687
Li -0.094 7.154 0.176
B 0.444 3.970 5.409
B 1.340 1.434 5.169
B 1.698 7.676 1.622
C -0.090 0.898 5.452
C 1.608 2.972 5.147
C 2.408 7.572 5.083
C 0.532 8.659 1.884
C 0.623 1.493 1.709

# 3
4
Lattice="-5.348 -0.353 -0.505 -1.736 -3.741 -3.460 3.469 0.108 4.116" Properties=species:S:1:pos:R:3 comment="ZrCr2Pb, optimized geometry, DFT PBE-GGA" delta_e_f_kcal_per_mol_atoms=8.871 sg=I-4m2 pbc="T T T"
Cr 0.000 0.000 0.000
Pb -3.542 -2.047 -1.983
Cr -0.905 -2.840 -0.664
Zr -2.711 -1.146 0.814

# 4
4
Lattice="5.434 0.000 0.000 2.717 4.706 0.000 2.717 1.569 4.437" Properties=species:S:1:pos:R:3 comment="CaSmTlCd, optimized geometry, DFT PBE-GGA" delta_e_f_kcal_per_mol_atoms=-9.276 sg=F-43m pbc="T T T"
Sm 5.434 3.137 2.218
Cd 8.151 4.706 3.328
Tl 2.717 1.569 1.109
Ca 0.000 0.000 0.000

# 5
5
Lattice="4.716 0.000 0.000 0.000 4.716 0.000 2.358 2.358 5.183" Properties=species:S:1:pos:R:3 comment="KGa2Ge2, optimized geometry, DFT PBE-GGA" delta_e_f_kcal_per_mol_atoms=-2.805 de_polymorph_kj_per_mol_fu=6 sg=I4/mmm pbc="T T T"
Ga 4.716 2.358 2.591
Ga 2.358 4.716 2.591
Ge 2.358 2.358 1.299
K 0.000 0.000 0.000
Ge 4.716 4.716 3.884

# 6
6
Lattice="3.880 0.000 0.000 0.000 3.880 0.000 0.000 0.000 11.721" Properties=species:S:1:pos:R:3 comment="AcHo2Mg3, optimized geometry, DFT PBE-GGA" delta_e_f_kcal_per_mol_atoms=-1.427 sg=P4/mmm pbc="T T T"
Ho 1.940 1.940 9.904
Mg 0.000 0.000 3.592
Ac 1.940 1.940 5.860
Mg 0.000 0.000 0.000
Ho 1.940 1.940 1.817
Mg 0.000 0.000 8.128

# 7
20
Lattice="-5.100 3.501 1.697 -4.870 1.712 -7.326 -6.531 -5.540 2.640" Properties=species:S:1:pos:R:3 comment="AlSi2AgS6, optimized geometry, DFT PBE-GGA" raw_formation_energy_ev_per_atom=-0.56 sg=C2/c pbc="T T T"
S -4.155 0.669 -3.896
Al -7.477 -3.229 1.091
S -9.006 0.703 -4.680
S -10.715 -2.396 -4.865
Al -9.024 2.902 -4.079
S -2.950 1.567 -0.687
S -7.556 -1.942 -3.444
Si -12.381 -0.503 -1.200
Ag -9.998 -1.352 1.767
Si -6.933 0.778 0.640
Si -9.568 -1.104 -3.628
S -6.230 0.585 -1.383
S -8.945 1.616 0.455
Si -4.120 0.177 -1.788
S -7.495 -1.029 1.691
Ag -6.503 1.026 -4.755
S -12.346 -0.995 0.908
S -13.551 -1.894 -2.301
S -5.786 2.070 1.877
S -10.271 -0.912 -1.605

# 8
4
Lattice="-3.521 -3.007 0.048 2.323 -2.704 1.032 -2.261 2.741 5.818" Properties=species:S:1:pos:R:3 comment="CaIn2Cl, optimized geometry, DFT PBE-GGA" raw_formation_energy_ev_per_atom=-0.73 de_polymorph_kj_per_mol_fu=37 sg=Pm pbc="T T T"
Cl -1.417 -1.835 4.390
In 2.077 -2.408 1.503
Ca -0.839 1.046 3.997
In -0.927 -2.456 1.464

# 9
10
Lattice="6.343 -0.001 0.001 -0.001 6.348 0.001 3.172 3.174 4.489" Properties=species:S:1:pos:R:3 comment="Er2SnBRh6, optimized geometry, DFT PBE-GGA" delta_e_f_kcal_per_mol_atoms=-9.851 sg=Fm-3m pbc="T T T"
Er 6.343 3.174 2.244
Sn 0.000 0.000 0.000
Rh 4.599 1.745 0.001
Rh 6.344 6.349 2.469
B 3.171 3.174 0.001
Rh 3.171 3.173 2.021
Er 3.171 6.348 2.246
Rh 1.743 1.747 0.001
Rh 7.771 7.775 4.489
Rh 1.743 4.602 0.001

# 10
11
Lattice="3.547 0.000 0.000 0.000 6.595 -1.052 -1.773 -3.582 11.987" Properties=species:S:1:pos:R:3 comment="Tb2Ho5Ni4, optimized geometry, DFT PBE-GGA" delta_e_f_kcal_per_mol_atoms=-3.359 sg=C2/m pbc="T T T"
Ho 0.000 1.495 2.713
Ni 1.773 0.844 10.844
Ho 1.773 1.518 8.222
Ho 1.773 0.000 0.000
Ni 1.773 3.469 3.510
Ho 0.000 4.578 1.580
Tb 1.773 -0.333 5.290
Ni 0.000 2.169 0.091
Ni 0.000 -0.456 7.425
Ho 1.773 -1.565 9.355
Tb 0.000 3.346 5.645

# 11
20
Lattice="6.349 0.000 0.000 0.000 6.218 0.000 0.000 0.000 13.656" Properties=species:S:1:pos:R:3 comment="SmMgSb3, optimized geometry, DFT PBE-GGA" raw_formation_energy_ev_per_atom=-0.55 sg=Pbcm pbc="T T T"
Sb 3.175 4.664 6.857
Sb 0.000 4.664 6.857
Sm 4.762 6.182 4.396
Mg 3.175 1.555 1.443
Mg 0.000 1.555 1.443
Sb 4.762 3.120 3.460
Sb 4.762 0.011 10.196
Sm 1.587 0.036 9.260
Sb 1.587 6.207 3.460
Sb 1.587 4.251 1.111
Sb 4.762 5.077 1.111
Sm 1.587 3.145 4.396
Sb 3.175 1.555 6.799
Sb 1.587 1.141 12.544
Mg 0.000 4.664 12.213
Sm 4.762 3.073 9.260
Sb 0.000 1.555 6.799
Sb 4.762 1.968 12.544
Sb 1.587 3.098 10.196
Mg 3.175 4.664 12.213

# 12
6
Lattice="9.209 0.013 0.000 -8.490 3.566 0.000 0.000 0.000 5.548" Properties=species:S:1:pos:R:3 comment="Y5Cd, optimized geometry, DFT PBE-GGA" delta_e_f_kcal_per_mol_atoms=-1.274 de_polymorph_kj_per_mol_fu=25 sg=Amm2 pbc="T T T"
Y -4.586 2.782 2.774
Y 3.332 1.193 0.000
Cd -8.478 3.564 0.000
Y -2.453 2.354 0.000
Y 7.249 0.407 2.774
Y 1.192 1.622 2.774

Going through the records in order, we get energy values of -5.411 -7.027 -7.491 -2.903 -3.399 -3.070 -4.778 -3.066 -6.819 -5.171 -4.285 -5.594 eV per atom.